Entry from the Alexandria database: crystalline Be2PIr at its relaxed geometry (PBE).

## Properties
VASP energy (eV/atom): -5.64
Magnetic moment (μB/cell): 0.00
Formation enthalpy at 0 K (eV/atom): -0.210

Unit cell a=3.559 b=2.834 c=4.478 alpha=89.98 beta=90.00 gamma=90.00
Positions (direct):
Be  0.000  0.751  0.013
Be  0.000  0.749  0.487
Ir  0.500  0.250  0.250
P  0.500  0.750  0.750